Entry 1:
PBE Y2MnSe, optimized geometry; space group = Amm2; formation energy from raw total energies = -65.67 kJ per mole of atoms
1.0
5.7874 -0.0003 -0.0019
4.4498 3.7004 -0.0019
0.0011 0.0004 4.1836
Mn Se Y
1 1 2
Cartesian
4.6634 1.6856 2.6130 Mn
3.0646 1.1077 0.5218 Se
7.4569 2.6952 2.6119 Y
0.1726 0.0624 0.5231 Y


Entry 2:
PBE Mn4MoP, optimized geometry; space group = F-43m; VASP energy = -8.6084 eV/atom
1.0
0.0000 3.2984 3.2984
3.2984 0.0000 3.2984
3.2984 3.2984 0.0000
Mn P Mo
4 1 1
Cartesian
2.4655 4.1313 2.4655 Mn
4.1313 2.4655 2.4655 Mn
4.1313 4.1313 4.1313 Mn
2.4655 2.4655 4.1313 Mn
0.0000 0.0000 0.0000 P
1.6492 1.6492 1.6492 Mo


Entry 3:
PBE NdSnPtAu, optimized geometry; space group = F-43m; VASP energy = -5.2594 eV/atom
1.0
4.9989 0.0000 0.0000
2.4994 4.3292 0.0000
2.4994 1.4431 4.0816
Sn Au Nd Pt
1 1 1 1
Cartesian
0.0000 0.0000 0.0000 Sn
2.4994 1.4431 1.0204 Au
4.9989 2.8861 2.0408 Nd
7.4983 4.3292 3.0612 Pt


Entry 4:
PBE SmAs2Pd5Au, optimized geometry; space group = P4/mmm; VASP energy = -5.2516 eV/atom
1.0
-1.7258 -1.6443 -4.0042
4.3287 -0.6508 -1.5984
0.0079 -7.0789 2.9035
Pd As Sm Au
5 2 1 1
Cartesian
2.1664 -2.1529 -0.0496 Pd
-0.8608 -2.6497 -1.2525 Pd
1.3054 -4.6870 -1.3495 Pd
-0.8570 -6.0736 0.1518 Pd
2.1702 -5.5768 1.3548 Pd
1.3027 -2.2918 -2.3319 As
1.3081 -7.0822 -0.3671 As
0.0040 -3.5395 1.4518 Sm
0.0000 0.0000 0.0000 Au


Entry 5:
PBE MnAl2W, optimized geometry; space group = P4/mmm; energy above the lowest structure with this stoichiometry = 10.3 kJ/mol of atoms
1.0
-1.0517 1.0697 -3.5346
2.2585 -2.7776 -1.5126
-2.9782 -2.4933 0.1315
Mn Al W
1 2 1
Cartesian
0.6034 -0.8539 -2.5236 Mn
-0.3599 -2.6355 -0.6905 Al
0.0000 0.0000 0.0000 Al
-2.0150 -0.7118 -1.7015 W


Entry 6:
PBE Er2Al3Ag2, optimized geometry; space group = C2/m; energy above the lowest structure with this stoichiometry = 0.0 kJ/mol of atoms
1.0
4.3886 0.0000 0.0000
-2.1943 5.2931 -0.0397
0.0000 -2.8440 6.1741
Al Er Ag
3 2 2
Cartesian
2.1943 0.0000 0.0000 Al
0.0000 2.6152 3.4721 Al
2.1943 -0.1661 2.6622 Al
0.0000 -0.6341 4.7817 Er
2.1943 3.0831 1.3527 Er
2.1943 1.5828 4.6807 Ag
0.0000 0.8662 1.4537 Ag


Number 1: Fermi-level density of states 0.812 states/eV per atom. Number 2: Fermi-level density of states 1.420 states/eV per atom. Number 3: Fermi-level density of states 0.675 states/eV per atom. Number 4: Fermi-level density of states 0.422 states/eV per atom. Number 5: Fermi-level density of states 0.660 states/eV per atom. Number 6: Fermi-level density of states 0.436 states/eV per atom.